This record from Alexandria describes a relaxed KMg2Ru crystal. The functional is GGA-PBE.

Summary:
The energy above the most stable polymorph in this dataset comes out at 189.5 kJ/mol of formula units. For the calculated formation energy, the calculation gives 2.925 eV/f.u.

abc: 4.380 4.380 9.230
angles: 90.00 90.00 90.00
Space group I-4m2 (No. 119)
One atom of each set of equivalent atoms:
K (0.000, 0.000, 0.000) [2 per cell]
Mg (0.000, 0.000, 0.500) [2 per cell]
Mg (0.000, 0.500, 0.750) [2 per cell]
Ru (0.000, 0.500, 0.250) [2 per cell]

***

This record from Alexandria describes a relaxed K2MgRu crystal. The functional is GGA-PBE.

Summary:
For the calculated formation energy, the calculation gives 4.003 eV/f.u.

abc: 4.171 4.171 23.600
angles: 90.00 90.00 90.00
Space group I-42d (No. 122)
One atom of each set of equivalent atoms:
K (0.243, 0.250, 0.125) [8 per cell]
Mg (0.000, 0.000, 0.500) [4 per cell]
Ru (0.000, 0.000, 0.000) [4 per cell]

***

This record from Alexandria describes a relaxed KMg2Ru crystal. The functional is GGA-PBE.

Summary:
The energy above the most stable polymorph in this dataset comes out at 210.8 kJ/mol of formula units. For the calculated formation energy, the calculation gives 3.146 eV/f.u.

abc: 5.814 5.814 16.917
angles: 90.00 90.00 90.00
Space group I-42d (No. 122)
One atom of each set of equivalent atoms:
K (0.000, 0.000, 0.000) [4 per cell]
Mg (0.002, 0.250, 0.625) [8 per cell]
Ru (0.000, 0.000, 0.500) [4 per cell]